# 1
Sm2Tm | PBE-GGA | optimized geometry

Properties
- crystal system = tetragonal
- total moment (μB/f.u.) = 0.00
- distance to the lowest polymorph of the same formula (meV per atom) = 0
- energy of formation from the pure elements (eV per atom) = 0.023

a b c (Å): 3.583 3.583 15.193
angles (deg): 90.00 90.00 90.00
Space group I4/mmm (No. 139)
Asymmetric unit:
Sm 0.000 0.000 0.165 [4 per cell]
Tm 0.000 0.000 0.500 [2 per cell]

# 2
Sm4Tm | PBE-GGA | optimized geometry

Properties
- crystal system = tetragonal
- total moment (μB/f.u.) = 0.00
- distance to the lowest polymorph of the same formula (meV per atom) = 372
- energy of formation from the pure elements (eV per atom) = 0.387

a b c (Å): 9.671 9.671 7.595
angles (deg): 90.00 90.00 90.00
Space group I4_1/amd (No. 141, origin choice 2)
Asymmetric unit:
Sm 0.000 0.060 0.235 [16 per cell]
Tm 0.000 0.250 0.875 [4 per cell]

# 3
Sm6Tm | PBE-GGA | optimized geometry

Properties
- crystal system = tetragonal
- total moment (μB/f.u.) = 0.00
- distance to the lowest polymorph of the same formula (meV per atom) = 0
- energy of formation from the pure elements (eV per atom) = 0.254

a b c (Å): 6.539 6.539 11.226
angles (deg): 90.00 90.00 90.00
Space group P4/nbm (No. 125, origin choice 2)
Asymmetric unit:
Sm 0.082 0.582 0.139 [8 per cell]
Sm 0.250 0.250 0.363 [4 per cell]
Tm 0.250 0.750 0.500 [2 per cell]

# 4
SmTm8 | PBE-GGA | optimized geometry

Properties
- crystal system = tetragonal
- total moment (μB/f.u.) = 0.00
- energy of formation from the pure elements (eV per atom) = 0.027

a b c (Å): 10.516 10.516 4.945
angles (deg): 90.00 90.00 90.00
Space group I4/mmm (No. 139)
Asymmetric unit:
Sm 0.000 0.000 0.000 [2 per cell]
Tm 0.000 0.334 0.000 [8 per cell]
Tm 0.167 0.167 0.500 [8 per cell]

# 5
Sm2Tm5 | PBE-GGA | optimized geometry

Properties
- crystal system = monoclinic
- total moment (μB/f.u.) = 0.00
- distance to the lowest polymorph of the same formula (meV per atom) = 0
- energy of formation from the pure elements (eV per atom) = 0.004

a b c (Å): 15.576 6.232 9.130
angles (deg): 90.00 96.08 90.00
Space group C2/c (No. 15)
Asymmetric unit:
Sm 0.073 0.168 0.108 [8 per cell]
Tm 0.000 0.334 0.750 [4 per cell]
Tm 0.145 0.335 0.465 [8 per cell]
Tm 0.214 0.167 0.822 [8 per cell]

# 6
Sm6Tm5 | PBE-GGA | optimized geometry

Properties
- crystal system = monoclinic
- total moment (μB/f.u.) = 0.00
- distance to the lowest polymorph of the same formula (meV per atom) = 0
- energy of formation from the pure elements (eV per atom) = 0.112

a b c (Å): 9.871 15.761 5.560
angles (deg): 90.00 124.22 90.00
Space group C2/m (No. 12)
Asymmetric unit:
Sm 0.208 0.000 0.209 [4 per cell]
Sm 0.208 0.139 0.708 [8 per cell]
Tm 0.000 0.201 0.000 [4 per cell]
Tm 0.000 0.338 0.500 [4 per cell]
Tm 0.000 0.500 0.000 [2 per cell]

# 7
Sm2Tm | PBE-GGA | optimized geometry

Properties
- crystal system = monoclinic
- total moment (μB/f.u.) = 0.00
- distance to the lowest polymorph of the same formula (meV per atom) = 94
- energy of formation from the pure elements (eV per atom) = 0.118

a b c (Å): 11.081 5.906 5.978
angles (deg): 90.00 90.49 90.00
Space group C2/m (No. 12)
Asymmetric unit:
Sm 0.076 0.000 0.240 [4 per cell]
Sm 0.243 0.500 0.281 [4 per cell]
Tm 0.088 0.500 0.770 [4 per cell]

# 8
Sm3Tm13 | PBE-GGA | optimized geometry

Properties
- crystal system = orthorhombic
- total moment (μB/f.u.) = 0.00
- energy of formation from the pure elements (eV per atom) = 0.004

a b c (Å): 7.186 11.145 12.422
angles (deg): 90.00 90.00 90.00
Space group Amm2 (No. 38)
Asymmetric unit:
Sm 0.000 0.000 0.000 [2 per cell]
Sm 0.252 0.000 0.253 [4 per cell]
Tm 0.000 0.000 0.503 [2 per cell]
Tm 0.000 0.249 0.834 [4 per cell]
Tm 0.250 0.000 0.750 [4 per cell]
Tm 0.251 0.248 0.584 [8 per cell]
Tm 0.500 0.000 0.000 [2 per cell]
Tm 0.500 0.000 0.503 [2 per cell]
Tm 0.500 0.247 0.834 [4 per cell]